No. 1
# Ac5Cd4Rh

An optimized crystal structure of Ac5Cd4Rh (PBE, Alexandria via LeMat-Bulk).

a = 3.9495 Å, b = 3.9495 Å, c = 20.5734 Å
α = 90.00°, β = 90.00°, γ = 90.00°
Fractional positions:
1 Ac 0.0000 0.0000 0.0000
2 Ac 0.0000 0.0000 0.2061
3 Ac 0.0000 0.0000 0.4159
4 Ac 0.0000 0.0000 0.5841
5 Ac 0.0000 0.0000 0.7939
6 Cd 0.5000 0.5000 0.1034
7 Cd 0.5000 0.5000 0.3079
8 Cd 0.5000 0.5000 0.6921
9 Cd 0.5000 0.5000 0.8966
10 Rh 0.5000 0.5000 0.5000

V: 321 Å³ per cell
Space group: No. 123
Raw total energy: -3.49 eV/atom


No. 2
# Mg3Zn3CuRh2

An optimized crystal structure of Mg3Zn3CuRh2 (PBE, Alexandria via LeMat-Bulk).

a = 7.4065 Å, b = 7.4065 Å, c = 2.9466 Å
α = 90.00°, β = 90.00°, γ = 120.00°
Fractional positions:
1 Mg 0.0000 0.7074 0.0000
2 Mg 0.2926 0.2926 0.0000
3 Mg 0.7074 0.0000 0.0000
4 Zn 0.0000 0.3809 0.5000
5 Zn 0.3809 0.0000 0.5000
6 Zn 0.6191 0.6191 0.5000
7 Cu 0.0000 0.0000 0.5000
8 Rh 0.3333 0.6667 0.0000
9 Rh 0.6667 0.3333 0.0000

V: 140 Å³ per cell
Space group: No. 189
Raw total energy: -3.29 eV/atom


no.,total magnetic moment (μB per formula unit),formation energy (kJ/mol of atoms)
1,0.03,-32.6
2,0.00,-23.2